1.
Below is crystalline CaAc2Si3Au12 at its relaxed geometry, with properties calculated at the GGA-PBE level.

Cell: 8.218 8.218 8.218 Å, 65.97 65.97 65.97°
Atoms (fractional coordinates):
1 Ca 0.000 0.000 0.000
2 Ac 0.398 0.398 0.398
3 Ac 0.602 0.602 0.602
4 Si 0.000 0.000 0.500
5 Si 0.000 0.500 0.000
6 Si 0.500 0.000 0.000
7 Au 0.141 0.141 0.604
8 Au 0.141 0.604 0.141
9 Au 0.141 0.687 0.687
10 Au 0.313 0.313 0.859
11 Au 0.313 0.859 0.313
12 Au 0.396 0.859 0.859
13 Au 0.604 0.141 0.141
14 Au 0.687 0.141 0.687
15 Au 0.687 0.687 0.141
16 Au 0.859 0.313 0.313
17 Au 0.859 0.396 0.859
18 Au 0.859 0.859 0.396

E_form (uncorrected): -234 meV/atom
N(E_F): 0.357 states/eV/atom



2.
Below is crystalline CaAcSiAu at its relaxed geometry, with properties calculated at the GGA-PBE level.

Cell: 5.345 5.345 5.345 Å, 60.00 60.00 60.00°
Atoms (fractional coordinates):
1 Ca 0.000 0.000 0.000
2 Ac 0.500 0.500 0.500
3 Si 0.750 0.750 0.750
4 Au 0.250 0.250 0.250

E_form (uncorrected): -628 meV/atom
N(E_F): 0.282 states/eV/atom



3.
Below is crystalline CaAcSn2Au4 at its relaxed geometry, with properties calculated at the GGA-PBE level.

Cell: 9.420 9.420 9.420 Å, 30.62 30.62 30.62°
Atoms (fractional coordinates):
1 Ca 0.000 0.000 0.000
2 Ac 0.500 0.500 0.500
3 Sn 0.258 0.258 0.258
4 Sn 0.742 0.742 0.742
5 Au 0.111 0.111 0.111
6 Au 0.372 0.372 0.372
7 Au 0.628 0.628 0.628
8 Au 0.889 0.889 0.889

N(E_F): 0.231 states/eV/atom
ΔE_f: -62.3 kJ/mol of atoms



4.
Below is crystalline SrCaAcAu2 at its relaxed geometry, with properties calculated at the GGA-PBE level.

Cell: 8.386 8.386 12.230 Å, 128.55 128.55 31.70°
Atoms (fractional coordinates):
1 Sr 0.225 0.225 0.121
2 Sr 0.775 0.775 0.879
3 Ca 0.127 0.127 0.547
4 Ca 0.873 0.873 0.453
5 Ac 0.449 0.449 0.770
6 Ac 0.551 0.551 0.230
7 Au 0.090 0.090 0.769
8 Au 0.233 0.233 0.401
9 Au 0.767 0.767 0.599
10 Au 0.910 0.910 0.231

N(E_F): 0.866 states/eV/atom
ΔE_f: -60.9 kJ/mol of atoms